This record from the Alexandria database describes SrTaAu2 after structural relaxation. The functional is PBE.

Summary:
**Excess energy over the best structure of this formula in the dataset**: 324.1 meV per atom
**Formation energy from the elements**: 4.507 kcal/mol of atoms
**E**: -4.827 eV per atom
**Space group**: Fm-3m, No. 225

Unit cell a=5.013 b=5.013 c=5.013 alpha=60.00 beta=60.00 gamma=60.00
Site moments in Bohr magnetons follow the coordinates.
Fractional positions:
Au 0.750 0.750 0.750  0.03
Au 0.250 0.250 0.250  0.03
Sr 0.000 0.000 0.000  0.04
Ta 0.500 0.500 0.500  0.79